Entry from Alexandria via LeMat-Bulk: crystalline ReSe2 at its relaxed geometry (PBE-GGA).

Cell: 6.7622 6.7622 4.0481 Å, 90.00 90.00 120.00°
Closest atoms and distances in Å follow each position.
Positions (direct):
Se1 0.7402 0.7402 0.0000  4 Re 2.54-2.68
Re1 0.0000 0.0000 0.5000  9 Se 2.68-2.70
Se2 0.3989 0.3989 0.5000  5 Re 2.70-2.89
Se3 0.0000 0.6011 0.5000  5 Re 2.70-2.89
Se4 0.0000 0.2598 0.0000  4 Re 2.54-2.68
Se5 0.6011 0.0000 0.5000  5 Re 2.70-2.89
Re2 0.3333 0.6667 0.0000  3 Se 2.54
Se6 0.2598 0.0000 0.0000  4 Re 2.54-2.68
Re3 0.6667 0.3333 0.0000  3 Se 2.54

Computed properties:
theoretical density	10.69	Mg/m³
E	-5.99	eV/atom
SG	No. 189
raw formation energy	478	meV/atom